(1)
# PmSmRhCl | Alexandria via LeMat-Bulk | PBE | relaxed
data_PmSmRhCl
_chemical_formula_sum 'Pm1 Sm1 Rh1 Cl1'
_space_group_name_H-M_alt 'P 1'
_space_group_IT_number 1
_cell_length_a 4.030
_cell_length_b 4.029
_cell_length_c 8.014
_cell_angle_alpha 90.02
_cell_angle_beta 104.56
_cell_angle_gamma 120.02
loop_
_space_group_symop_operation_xyz
'x,y,z'
loop_
_atom_site_label
_atom_site_type_symbol
_atom_site_fract_x
_atom_site_fract_y
_atom_site_fract_z
_atom_site_occupancy
Pm1 Pm 0.504 0.149 0.669 1
Rh1 Rh 0.305 0.550 0.871 1
Sm1 Sm 0.105 0.951 0.071 1
Cl1 Cl 0.963 0.380 0.358 1
# Volume = 107.82 Å³ per cell
# ΔE_f (raw) = -26.68 kcal/mol of atoms
# Symmetry = R3m

=====

(2)
# Pm3TeRhCl | Alexandria via LeMat-Bulk | PBE | relaxed
data_Pm3TeRhCl
_chemical_formula_sum 'Pm6 Te2 Rh2 Cl2'
_space_group_name_H-M_alt 'P 1'
_space_group_IT_number 1
_cell_length_a 4.168
_cell_length_b 8.961
_cell_length_c 9.864
_cell_angle_alpha 94.46
_cell_angle_beta 90.00
_cell_angle_gamma 90.00
loop_
_space_group_symop_operation_xyz
'x,y,z'
loop_
_atom_site_label
_atom_site_type_symbol
_atom_site_fract_x
_atom_site_fract_y
_atom_site_fract_z
_atom_site_occupancy
Pm1 Pm 0.250 0.157 0.862 1
Pm2 Pm 0.250 0.602 0.850 1
Te1 Te 0.250 0.120 0.182 1
Cl1 Cl 0.250 0.133 0.571 1
Rh1 Rh 0.750 0.381 0.856 1
Cl2 Cl 0.750 0.867 0.429 1
Pm3 Pm 0.250 0.661 0.423 1
Te2 Te 0.750 0.880 0.818 1
Pm4 Pm 0.750 0.843 0.138 1
Rh2 Rh 0.250 0.619 0.144 1
Pm5 Pm 0.750 0.339 0.577 1
Pm6 Pm 0.750 0.398 0.150 1
# Volume = 367.33 Å³ per cell
# ΔE_f (raw) = -25.73 kcal/mol of atoms
# Symmetry = P2_1/m

=====

(3)
# Pm2RuCl | Alexandria via LeMat-Bulk | PBE | relaxed
data_Pm2RuCl
_chemical_formula_sum 'Pm2 Ru1 Cl1'
_space_group_name_H-M_alt 'P 1'
_space_group_IT_number 1
_cell_length_a 3.471
_cell_length_b 3.520
_cell_length_c 8.270
_cell_angle_alpha 90.12
_cell_angle_beta 90.00
_cell_angle_gamma 90.00
loop_
_space_group_symop_operation_xyz
'x,y,z'
loop_
_atom_site_label
_atom_site_type_symbol
_atom_site_fract_x
_atom_site_fract_y
_atom_site_fract_z
_atom_site_occupancy
Pm1 Pm 0.000 0.002 0.208 1
Ru1 Ru 0.500 0.500 0.000 1
Pm2 Pm 0.000 0.998 0.792 1
Cl1 Cl 0.500 0.000 0.500 1
# ΔE to the lowest computed polymorph = 0.00 kcal/mol of atoms
# Volume = 101.06 Å³ per cell
# ΔE_f (raw) = -20.54 kcal/mol of atoms
# Symmetry = P2/m